Density functional theory data (PBE-GGA) for CaGa9Rh2 after structural relaxation.

Unit cell a=8.367 b=8.367 c=8.367 alpha=101.69 beta=101.69 gamma=126.48
Atoms (fractional coordinates):
Ca 0.375 0.625 0.750
Ca 0.625 0.375 0.250
Ga 0.125 0.875 0.250
Ga 0.138 0.563 0.334
Ga 0.138 0.804 0.575
Ga 0.196 0.271 0.334
Ga 0.196 0.862 0.925
Ga 0.271 0.196 0.834
Ga 0.271 0.437 0.075
Ga 0.437 0.271 0.575
Ga 0.437 0.862 0.166
Ga 0.563 0.138 0.834
Ga 0.563 0.729 0.425
Ga 0.729 0.563 0.925
Ga 0.729 0.804 0.166
Ga 0.804 0.138 0.075
Ga 0.804 0.729 0.666
Ga 0.862 0.196 0.425
Ga 0.862 0.437 0.666
Ga 0.875 0.125 0.750
Rh 0.000 0.000 0.000
Rh 0.000 0.000 0.500
Rh 0.000 0.500 0.000
Rh 0.500 0.000 0.500

Calculated values
SG: No. 141
E: -96.39 eV per cell
ΔE to the lowest computed polymorph: 3.7 kJ per mole of atoms
DFT formation energy: -354 meV per atom

Density functional theory data (PBE-GGA) for Ho3ErTc after structural relaxation.

Unit cell a=5.348 b=5.348 c=5.348 alpha=90.00 beta=90.00 gamma=90.00
Atoms (fractional coordinates):
Ho 0.000 0.000 0.500
Ho 0.000 0.500 0.000
Ho 0.500 0.000 0.000
Er 0.500 0.500 0.500
Tc 0.000 0.000 0.000

Calculated values
SG: No. 221
E: -27.89 eV per cell
ΔE to the lowest computed polymorph: 19.6 kJ per mole of atoms
DFT formation energy: 154 meV per atom

Density functional theory data (PBE-GGA) for Ho4ErTl2 after structural relaxation.

Unit cell a=6.200 b=6.200 c=6.145 alpha=93.48 beta=93.48 gamma=115.95
Atoms (fractional coordinates):
Ho 0.000 0.500 0.500
Ho 0.199 0.801 0.000
Ho 0.500 0.000 0.500
Ho 0.801 0.199 0.000
Er 0.000 0.000 0.500
Tl 0.429 0.429 0.235
Tl 0.571 0.571 0.765

Calculated values
SG: No. 12
E: -26.83 eV per cell
ΔE to the lowest computed polymorph: 3.6 kJ per mole of atoms
DFT formation energy: 110 meV per atom